<one>
A plane-wave DFT calculation with PBE-GGA was carried out for a relaxed structure of Na2Ac3Sn3.

CIF file:
```
data_Na2Ac3Sn3
_cell_length_a 3.981
_cell_length_b 5.626
_cell_length_c 24.339
_cell_angle_alpha 90.00
_cell_angle_beta 90.00
_cell_angle_gamma 90.00
_symmetry_space_group_name_H-M 'I m m m'
_symmetry_Int_Tables_number 71
_symmetry_space_group_name_Hall '-I 2 2'
loop_
_atom_site_label
_atom_site_type_symbol
_atom_site_fract_x
_atom_site_fract_y
_atom_site_fract_z
_atom_site_occupancy
Na1 Na 0.000 0.000 0.248 1
Ac1 Ac 0.000 0.000 0.000 1
Ac2 Ac 0.000 0.500 0.116 1
Sn1 Sn 0.000 0.000 0.500 1
Sn2 Sn 0.000 0.500 0.357 1
```

<two>
A plane-wave DFT calculation with PBE-GGA was carried out for a relaxed structure of Na2Ac3Sn3.

CIF file:
```
data_Na2Ac3Sn3
_cell_length_a 9.9936
_cell_length_b 9.9936
_cell_length_c 6.7832
_cell_angle_alpha 90.00
_cell_angle_beta 90.00
_cell_angle_gamma 120.00
_symmetry_space_group_name_H-M 'P 63/m c m'
_symmetry_Int_Tables_number 193
_symmetry_space_group_name_Hall '-P 6c 2'
loop_
_atom_site_label
_atom_site_type_symbol
_atom_site_fract_x
_atom_site_fract_y
_atom_site_fract_z
_atom_site_occupancy
Na1 Na 0.3333 0.6667 0.0000 1
Ac1 Ac 0.0000 0.3031 0.2500 1
Sn1 Sn 0.0000 0.3609 0.7500 1
```

The most stable of them is <two>.

<one>
A plane-wave DFT calculation with PBE-GGA was carried out for a relaxed structure of NaSr2Ac.

CIF file:
```
data_NaSr2Ac
_cell_length_a 4.042
_cell_length_b 4.042
_cell_length_c 11.597
_cell_angle_alpha 90.00
_cell_angle_beta 90.00
_cell_angle_gamma 90.00
_symmetry_space_group_name_H-M 'P 4/m m m'
_symmetry_Int_Tables_number 123
_symmetry_space_group_name_Hall '-P 4 2'
loop_
_atom_site_label
_atom_site_type_symbol
_atom_site_fract_x
_atom_site_fract_y
_atom_site_fract_z
_atom_site_occupancy
Na1 Na 0.000 0.000 0.000 1
Sr1 Sr 0.500 0.500 0.242 1
Ac1 Ac 0.000 0.000 0.500 1
```

<two>
A plane-wave DFT calculation with PBE-GGA was carried out for a relaxed structure of NaSr2Ac.

CIF file:
```
data_NaSr2Ac
_cell_length_a 4.1098
_cell_length_b 4.1098
_cell_length_c 39.3381
_cell_angle_alpha 90.00
_cell_angle_beta 90.00
_cell_angle_gamma 120.00
_symmetry_space_group_name_H-M 'R 3 m'
_symmetry_Int_Tables_number 160
_symmetry_space_group_name_Hall 'R 3 -2"'
loop_
_atom_site_label
_atom_site_type_symbol
_atom_site_fract_x
_atom_site_fract_y
_atom_site_fract_z
_atom_site_occupancy
Na1 Na 0.0000 0.0000 0.0000 1
Sr1 Sr 0.0000 0.0000 0.4159 1
Sr2 Sr 0.0000 0.0000 0.5843 1
Ac1 Ac 0.0000 0.0000 0.8336 1
```

The most stable of them is <one>.

<one>
A plane-wave DFT calculation with PBE-GGA was carried out for a relaxed structure of NaSr2Ac.

CIF file:
```
data_NaSr2Ac
_cell_length_a 3.9696
_cell_length_b 3.9696
_cell_length_c 43.0613
_cell_angle_alpha 90.00
_cell_angle_beta 90.00
_cell_angle_gamma 120.00
_symmetry_space_group_name_H-M 'R -3 m'
_symmetry_Int_Tables_number 166
_symmetry_space_group_name_Hall '-R 3 2"'
loop_
_atom_site_label
_atom_site_type_symbol
_atom_site_fract_x
_atom_site_fract_y
_atom_site_fract_z
_atom_site_occupancy
Na1 Na 0.0000 0.0000 0.0000 1
Sr1 Sr 0.0000 0.0000 0.4103 1
Ac1 Ac 0.0000 0.0000 0.5000 1
```

<two>
A plane-wave DFT calculation with PBE-GGA was carried out for a relaxed structure of NaSr2Ac.

CIF file:
```
data_NaSr2Ac
_cell_length_a 9.181
_cell_length_b 9.181
_cell_length_c 9.181
_cell_angle_alpha 90.00
_cell_angle_beta 90.00
_cell_angle_gamma 90.00
_symmetry_space_group_name_H-M 'F m -3 m'
_symmetry_Int_Tables_number 225
_symmetry_space_group_name_Hall '-F 4 2 3'
loop_
_atom_site_label
_atom_site_type_symbol
_atom_site_fract_x
_atom_site_fract_y
_atom_site_fract_z
_atom_site_occupancy
Na1 Na 0.000 0.000 0.000 1
Sr1 Sr 0.250 0.250 0.250 1
Ac1 Ac 0.000 0.000 0.500 1
```

<three>
A plane-wave DFT calculation with PBE-GGA was carried out for a relaxed structure of NaSr2Ac.

CIF file:
```
data_NaSr2Ac
_cell_length_a 6.679
_cell_length_b 6.679
_cell_length_c 4.294
_cell_angle_alpha 90.00
_cell_angle_beta 90.00
_cell_angle_gamma 90.00
_symmetry_space_group_name_H-M 'P 4/m m m'
_symmetry_Int_Tables_number 123
_symmetry_space_group_name_Hall '-P 4 2'
loop_
_atom_site_label
_atom_site_type_symbol
_atom_site_fract_x
_atom_site_fract_y
_atom_site_fract_z
_atom_site_occupancy
Na1 Na 0.000 0.000 0.000 1
Sr1 Sr 0.000 0.500 0.500 1
Ac1 Ac 0.500 0.500 0.000 1
```

The most stable of them is <three>.

<one>
A plane-wave DFT calculation with PBE-GGA was carried out for a relaxed structure of NaSrAc.

CIF file:
```
data_NaSrAc
_cell_length_a 3.998
_cell_length_b 3.998
_cell_length_c 17.040
_cell_angle_alpha 90.00
_cell_angle_beta 90.00
_cell_angle_gamma 90.00
_symmetry_space_group_name_H-M 'I 4 m m'
_symmetry_Int_Tables_number 107
_symmetry_space_group_name_Hall 'I 4 -2'
loop_
_atom_site_label
_atom_site_type_symbol
_atom_site_fract_x
_atom_site_fract_y
_atom_site_fract_z
_atom_site_occupancy
Na1 Na 0.000 0.000 0.000 1
Sr1 Sr 0.000 0.000 0.664 1
Ac1 Ac 0.000 0.000 0.341 1
```

<two>
A plane-wave DFT calculation with PBE-GGA was carried out for a relaxed structure of NaSrAc.

CIF file:
```
data_NaSrAc
_cell_length_a 7.023
_cell_length_b 4.055
_cell_length_c 20.098
_cell_angle_alpha 90.00
_cell_angle_beta 90.12
_cell_angle_gamma 90.00
_symmetry_space_group_name_H-M 'C 1 2/m 1'
_symmetry_Int_Tables_number 12
loop_
_symmetry_equiv_pos_as_xyz
'x,y,z'
'-x,-y,-z'
'-x,y,-z'
'x,-y,z'
'x+1/2,y+1/2,z'
'-x+1/2,-y+1/2,-z'
'-x+1/2,y+1/2,-z'
'x+1/2,-y+1/2,z'
loop_
_atom_site_label
_atom_site_type_symbol
_atom_site_fract_x
_atom_site_fract_y
_atom_site_fract_z
_atom_site_occupancy
Na1 Na 0.001 0.000 0.410 1
Sr1 Sr 0.166 0.500 0.751 1
Ac1 Ac 0.167 0.500 0.078 1
```

The most stable of them is <two>.